## LaTm5Bi6 (PBE-GGA)

Data for LaTm5Bi6 after structural relaxation.

The value obtained for the density of states at the Fermi level is 4.0 states/eV per cell. Its formation energy from the elements is -0.82 eV/atom. The total moment is 0.00 μB/cell. Its uncorrected energy is -60.41 eV/f.u.

It has space group C2/m (No. 12), with a = 7.764 Å, b = 13.450 Å, c = 7.766 Å, α = 90.00°, β = 109.54° and γ = 90.00°. The distinct sites, in fractional coordinates, are La at (0.000, 0.000, 0.000), Tm at (0.000, 0.162, 0.500), Tm at (0.000, 0.332, 0.000), Tm at (0.000, 0.500, 0.500), Bi at (0.241, 0.500, 0.252) and Bi at (0.243, 0.329, 0.743).